Entry 1:
Entry from Alexandria: NbTl3Ni2S6 after structural relaxation (PBE).

The structure in CIF format:
```
data_NbTl3Ni2S6
_symmetry_space_group_name_H-M 'C 1 2/m 1'
_symmetry_Int_Tables_number 12
_symmetry_space_group_name_Hall '-C 2y'
_cell_length_a 6.099
_cell_length_b 10.602
_cell_length_c 7.975
_cell_angle_alpha 90.00
_cell_angle_beta 104.88
_cell_angle_gamma 90.00
loop_
_atom_site_label
_atom_site_fract_x
_atom_site_fract_y
_atom_site_fract_z
Nb1 0.000 0.000 0.000
Tl1 0.000 0.166 0.500
Tl2 0.000 0.500 0.500
Ni1 0.000 0.334 0.000
S1 0.206 0.500 0.166
S2 0.231 0.175 0.167
```

## Properties
Energy relative to the elements, uncorrected ... -4.48 eV/f.u.
Fermi-level density of states ... 15.333 states/eV per cell
Magnetic moment ... 3.451 μB/cell

=====

Entry 2:
Entry from Alexandria: NbZnNi2S after structural relaxation (PBE).

The structure in CIF format:
```
data_NbZnNi2S
_symmetry_space_group_name_H-M 'P 4/m m m'
_symmetry_Int_Tables_number 123
_symmetry_space_group_name_Hall '-P 4 2'
_cell_length_a 4.247
_cell_length_b 4.247
_cell_length_c 4.903
_cell_angle_alpha 90.00
_cell_angle_beta 90.00
_cell_angle_gamma 90.00
loop_
_atom_site_label
_atom_site_fract_x
_atom_site_fract_y
_atom_site_fract_z
Nb1 0.000 0.000 0.000
Zn1 0.000 0.000 0.500
Ni1 0.000 0.500 0.500
S1 0.500 0.500 0.000
```

## Properties
Energy relative to the elements, uncorrected ... 5.18 eV/f.u.
Fermi-level density of states ... 7.340 states/eV per cell
Magnetic moment ... 1.598 μB/cell

=====

Entry 3:
Entry from Alexandria: NbNiSb3 after structural relaxation (PBE).

The structure in CIF format:
```
data_NbNiSb3
_symmetry_space_group_name_H-M 'P m -3 m'
_symmetry_Int_Tables_number 221
_symmetry_space_group_name_Hall '-P 4 2 3'
_cell_length_a 5.306
_cell_length_b 5.306
_cell_length_c 5.306
_cell_angle_alpha 90.00
_cell_angle_beta 90.00
_cell_angle_gamma 90.00
loop_
_atom_site_label
_atom_site_fract_x
_atom_site_fract_y
_atom_site_fract_z
Nb1 0.000 0.000 0.000
Ni1 0.500 0.500 0.500
Sb1 0.000 0.000 0.500
```

## Properties
Energy relative to the elements, uncorrected ... 4.28 eV/f.u.
Fermi-level density of states ... 7.229 states/eV per cell
Magnetic moment ... 0.437 μB/cell

=====

Entry 4:
Entry from Alexandria: Nb2Ni2Sb after structural relaxation (PBE).

The structure in CIF format:
```
data_Nb2Ni2Sb
_symmetry_space_group_name_H-M 'P 4/m b m'
_symmetry_Int_Tables_number 127
_symmetry_space_group_name_Hall '-P 4 2ab'
_cell_length_a 6.547
_cell_length_b 6.547
_cell_length_c 3.705
_cell_angle_alpha 90.00
_cell_angle_beta 90.00
_cell_angle_gamma 90.00
loop_
_atom_site_label
_atom_site_fract_x
_atom_site_fract_y
_atom_site_fract_z
Nb1 0.168 0.332 0.000
Ni1 0.127 0.627 0.500
Sb1 0.000 0.000 0.500
```

## Properties
Energy relative to the elements, uncorrected ... -0.83 eV/f.u.
Fermi-level density of states ... 11.366 states/eV per cell
Magnetic moment ... 0.000 μB/cell